Entry from Alexandria: a relaxed PaCuPdO5 crystal (PBE).

Cell lengths 5.630, 5.630, 6.840 Å; angles 99.48, 99.48, 111.34 degrees
Atoms (fractional coordinates):
Pa: 0.366 0.634 0.250
Pa: 0.634 0.366 0.750
Cu: 0.683 0.317 0.250
Cu: 0.317 0.683 0.750
Pd: 0.000 0.000 0.500
Pd: 0.000 0.000 0.000
O: 0.117 0.883 0.250
O: 0.883 0.117 0.750
O: 0.975 0.336 0.134
O: 0.025 0.664 0.866
O: 0.664 0.025 0.366
O: 0.336 0.975 0.634
O: 0.720 0.612 0.468
O: 0.280 0.388 0.532
O: 0.388 0.280 0.032
O: 0.612 0.720 0.968

* V: 12.071 Å³/atom
* DOS at the Fermi energy: 0.143 states/eV/atom
* SG: C2/c

Entry from Alexandria: a relaxed PmPaCu2O8 crystal (PBE).

Cell lengths 5.315, 5.315, 6.484 Å; angles 114.20, 114.20, 90.00 degrees
Atoms (fractional coordinates):
Pm: 0.750 0.250 0.500
Pa: 0.000 0.000 0.000
Cu: 0.500 0.500 0.000
Cu: 0.250 0.750 0.500
O: 0.694 0.843 0.076
O: 0.382 0.233 0.076
O: 0.630 0.712 0.578
O: 0.948 0.866 0.578
O: 0.134 0.370 0.422
O: 0.288 0.052 0.422
O: 0.157 0.618 0.924
O: 0.767 0.306 0.924

* V: 12.440 Å³/atom
* DOS at the Fermi energy: 0.342 states/eV/atom
* SG: I-4

Entry from Alexandria: a relaxed PmPa2CuO8 crystal (PBE).

Cell lengths 5.215, 5.215, 6.362 Å; angles 90.00, 90.00, 120.00 degrees
Each line ends with the local moment (μB).
Atoms (fractional coordinates):
Pm: 0.000 0.000 0.500  0.00
Pa: 0.667 0.333 0.130  0.00
Pa: 0.333 0.667 0.870  0.00
Cu: 0.000 0.000 0.000  0.15
O: 0.828 0.657 0.823  0.03
O: 0.343 0.172 0.823  0.03
O: 0.828 0.172 0.823  0.03
O: 0.172 0.343 0.177  0.03
O: 0.657 0.828 0.177  0.03
O: 0.172 0.828 0.177  0.03
O: 0.667 0.333 0.430  0.00
O: 0.333 0.667 0.570  0.00

* V: 12.484 Å³/atom
* DOS at the Fermi energy: 0.316 states/eV/atom
* SG: P-3m1

Entry from Alexandria: a relaxed PmPaCuO5 crystal (PBE).

Cell lengths 5.927, 5.927, 7.978 Å; angles 102.24, 102.24, 110.88 degrees
Each line ends with the local moment (μB).
Atoms (fractional coordinates):
Pm: 0.335 0.665 0.250  0.00
Pm: 0.665 0.335 0.750  0.00
Pa: 0.000 0.000 0.500  0.05
Pa: 0.000 0.000 0.000  0.05
Cu: 0.673 0.327 0.250  0.57
Cu: 0.327 0.673 0.750  0.57
O: 0.097 0.903 0.250  0.02
O: 0.903 0.097 0.750  0.02
O: 0.908 0.311 0.113  0.07
O: 0.092 0.689 0.887  0.07
O: 0.689 0.092 0.387  0.07
O: 0.311 0.908 0.613  0.07
O: 0.693 0.630 0.423  0.09
O: 0.307 0.370 0.577  0.09
O: 0.370 0.307 0.077  0.09
O: 0.630 0.693 0.923  0.09

* V: 15.178 Å³/atom
* DOS at the Fermi energy: 0.324 states/eV/atom
* SG: C2/c

Entry from Alexandria: a relaxed PmPaCuO6 crystal (PBE).

Cell lengths 4.913, 5.381, 5.381 Å; angles 120.00, 90.00, 90.00 degrees
Each line ends with the local moment (μB).
Atoms (fractional coordinates):
Pm: 0.500 0.667 0.333  0.00
Pa: 0.000 0.333 0.667  0.07
Cu: 0.500 0.000 0.000  0.42
O: 0.740 0.679 0.713  0.07
O: 0.740 0.287 0.967  0.07
O: 0.740 0.033 0.321  0.07
O: 0.260 0.287 0.321  0.07
O: 0.260 0.679 0.967  0.07
O: 0.260 0.033 0.713  0.07

* V: 13.690 Å³/atom
* DOS at the Fermi energy: 0.518 states/eV/atom
* SG: P312

Entry from Alexandria: a relaxed PrPa2CuO8 crystal (PBE).

Cell lengths 5.201, 5.201, 6.466 Å; angles 90.00, 90.00, 120.00 degrees
Each line ends with the local moment (μB).
Atoms (fractional coordinates):
Pr: 0.000 0.000 0.500  0.00
Pa: 0.667 0.333 0.130  0.00
Pa: 0.333 0.667 0.870  0.00
Cu: 0.000 0.000 0.000  0.10
O: 0.828 0.655 0.826  0.02
O: 0.345 0.172 0.826  0.02
O: 0.828 0.172 0.826  0.02
O: 0.172 0.345 0.174  0.02
O: 0.655 0.828 0.174  0.02
O: 0.172 0.828 0.174  0.02
O: 0.667 0.333 0.427  0.00
O: 0.333 0.667 0.573  0.00

* V: 12.624 Å³/atom
* DOS at the Fermi energy: 0.317 states/eV/atom
* SG: P-3m1

Entry from Alexandria: a relaxed PaCu2PtO8 crystal (PBE).

Cell lengths 5.821, 5.821, 5.821 Å; angles 110.94, 110.94, 106.57 degrees
Each line ends with the local moment (μB).
Atoms (fractional coordinates):
Pa: 0.250 0.750 0.500  0.11
Cu: 0.750 0.250 0.500  0.22
Cu: 0.500 0.500 0.000  0.55
Pt: 0.000 0.000 0.000  0.23
O: 0.340 0.038 0.302  0.12
O: 0.306 0.489 0.184  0.17
O: 0.306 0.122 0.816  0.17
O: 0.736 0.038 0.698  0.12
O: 0.878 0.694 0.184  0.17
O: 0.962 0.264 0.302  0.12
O: 0.962 0.660 0.698  0.12
O: 0.511 0.694 0.816  0.17

* V: 12.628 Å³/atom
* DOS at the Fermi energy: 0.977 states/eV/atom
* SG: I-4m2

Entry from Alexandria: a relaxed PaCu2PtO6 crystal (PBE).

Cell lengths 5.356, 5.358, 5.851 Å; angles 62.75, 62.74, 59.98 degrees
Each line ends with the local moment (μB).
Atoms (fractional coordinates):
Pa: 0.816 0.816 0.552  0.00
Cu: 0.569 0.569 0.293  0.30
Cu: 0.063 0.064 0.810  0.30
Pt: 0.316 0.316 0.052  0.09
O: 0.554 0.215 0.292  0.05
O: 0.216 0.939 0.292  0.05
O: 0.939 0.554 0.292  0.05
O: 0.417 0.693 0.812  0.05
O: 0.693 0.079 0.812  0.05
O: 0.079 0.417 0.812  0.05

* V: 12.341 Å³/atom
* DOS at the Fermi energy: 0.829 states/eV/atom
* SG: R-3

Entry from Alexandria: a relaxed PaCuPtO6 crystal (PBE).

Cell lengths 5.351, 5.351, 8.906 Å; angles 90.00, 90.00, 120.00 degrees
Atoms (fractional coordinates):
Pa: 0.333 0.667 0.250
Pa: 0.667 0.333 0.750
Cu: 0.000 0.000 0.000
Cu: 0.000 0.000 0.500
Pt: 0.667 0.333 0.250
Pt: 0.333 0.667 0.750
O: 0.675 0.655 0.124
O: 0.980 0.325 0.124
O: 0.325 0.980 0.624
O: 0.020 0.675 0.876
O: 0.345 0.325 0.376
O: 0.980 0.655 0.376
O: 0.655 0.980 0.876
O: 0.675 0.020 0.376
O: 0.020 0.345 0.624
O: 0.345 0.020 0.124
O: 0.655 0.675 0.624
O: 0.325 0.345 0.876

* V: 12.270 Å³/atom
* DOS at the Fermi energy: 0.461 states/eV/atom
* SG: P-31c

Entry from Alexandria: a relaxed PuPa2CuO8 crystal (PBE).

Cell lengths 5.336, 5.336, 6.123 Å; angles 90.00, 90.00, 120.00 degrees
Each line ends with the local moment (μB).
Atoms (fractional coordinates):
Pu: 0.000 0.000 0.500  4.80
Pa: 0.667 0.333 0.118  0.04
Pa: 0.333 0.667 0.882  0.04
Cu: 0.000 0.000 0.000  -0.77
O: 0.830 0.660 0.815  -0.18
O: 0.340 0.170 0.815  -0.18
O: 0.830 0.170 0.815  -0.18
O: 0.170 0.340 0.185  -0.18
O: 0.660 0.830 0.185  -0.18
O: 0.170 0.830 0.185  -0.18
O: 0.667 0.333 0.426  -0.02
O: 0.333 0.667 0.574  -0.02

* V: 12.580 Å³/atom
* DOS at the Fermi energy: 0.571 states/eV/atom
* SG: P-3m1

Entry from Alexandria: a relaxed PuPaCuO6 crystal (PBE).

Cell lengths 5.819, 5.819, 8.804 Å; angles 90.00, 90.00, 120.00 degrees
Each line ends with the local moment (μB).
Atoms (fractional coordinates):
Pu: 0.667 0.333 0.250  2.78
Pu: 0.333 0.667 0.750  2.78
Pa: 0.333 0.667 0.250  0.01
Pa: 0.667 0.333 0.750  0.01
Cu: 0.000 0.000 0.000  -0.28
Cu: 0.000 0.000 0.500  -0.28
O: 0.655 0.643 0.134  -0.08
O: 0.988 0.345 0.134  -0.08
O: 0.345 0.988 0.634  -0.08
O: 0.012 0.655 0.866  -0.08
O: 0.357 0.345 0.366  -0.08
O: 0.988 0.643 0.366  -0.08
O: 0.643 0.988 0.866  -0.08
O: 0.655 0.012 0.366  -0.08
O: 0.012 0.357 0.634  -0.08
O: 0.357 0.012 0.134  -0.08
O: 0.643 0.655 0.634  -0.08
O: 0.345 0.357 0.866  -0.08

* V: 14.344 Å³/atom
* DOS at the Fermi energy: 0.765 states/eV/atom
* SG: P-31c

Entry from Alexandria: a relaxed RbPaCuO5 crystal (PBE).

Cell lengths 6.792, 6.792, 7.841 Å; angles 117.47, 117.47, 100.27 degrees
Each line ends with the local moment (μB).
Atoms (fractional coordinates):
Rb: 0.345 0.655 0.250  0.00
Rb: 0.655 0.345 0.750  0.00
Pa: 0.000 0.000 0.500  0.01
Pa: 0.000 0.000 0.000  0.01
Cu: 0.699 0.301 0.250  0.08
Cu: 0.301 0.699 0.750  0.08
O: 0.085 0.915 0.250  0.09
O: 0.915 0.085 0.750  0.09
O: 0.952 0.301 0.214  0.18
O: 0.048 0.699 0.786  0.18
O: 0.699 0.048 0.286  0.18
O: 0.301 0.952 0.714  0.18
O: 0.752 0.595 0.278  0.15
O: 0.248 0.405 0.722  0.15
O: 0.405 0.248 0.222  0.15
O: 0.595 0.752 0.778  0.15

* V: 15.451 Å³/atom
* DOS at the Fermi energy: 0.728 states/eV/atom
* SG: C2/c

Entry from Alexandria: a relaxed Rb3PaCu2O8 crystal (PBE).

Cell lengths 6.054, 6.054, 8.067 Å; angles 90.00, 90.00, 120.00 degrees
Each line ends with the local moment (μB).
Atoms (fractional coordinates):
Rb: 0.333 0.667 0.690  0.00
Rb: 0.667 0.333 0.310  0.00
Rb: 0.000 0.000 0.000  0.00
Pa: 0.000 0.000 0.500  0.26
Cu: 0.333 0.667 0.254  0.92
Cu: 0.667 0.333 0.746  0.92
O: 0.333 0.667 0.038  0.80
O: 0.667 0.333 0.962  0.80
O: 0.167 0.833 0.344  0.27
O: 0.833 0.167 0.656  0.27
O: 0.167 0.333 0.344  0.27
O: 0.833 0.667 0.656  0.27
O: 0.667 0.833 0.344  0.27
O: 0.333 0.167 0.656  0.27

* V: 18.293 Å³/atom
* DOS at the Fermi energy: 0.356 states/eV/atom
* SG: P-3m1

Entry from Alexandria: a relaxed Rb2PaCu2O6 crystal (PBE).

Cell lengths 6.114, 6.114, 6.865 Å; angles 90.00, 90.00, 120.00 degrees
Each line ends with the local moment (μB).
Atoms (fractional coordinates):
Rb: 0.667 0.333 0.678  0.00
Rb: 0.333 0.667 0.322  0.00
Pa: 0.000 0.000 0.000  0.08
Cu: 0.333 0.667 0.822  0.54
Cu: 0.667 0.333 0.178  0.54
O: 0.118 0.328 0.814  0.20
O: 0.672 0.791 0.814  0.20
O: 0.209 0.882 0.814  0.20
O: 0.882 0.672 0.186  0.20
O: 0.328 0.209 0.186  0.20
O: 0.791 0.118 0.186  0.20

* V: 20.203 Å³/atom
* DOS at the Fermi energy: 0.693 states/eV/atom
* SG: P-3

Entry from Alexandria: a relaxed RbPa3Cu4O12 crystal (PBE).

Cell lengths 7.229, 7.229, 7.229 Å; angles 104.06, 104.06, 104.06 degrees
Each line ends with the local moment (μB).
Atoms (fractional coordinates):
Rb: 0.000 0.000 0.000  0.00
Pa: 0.560 0.440 0.000  0.07
Pa: 0.440 0.000 0.560  0.07
Pa: 0.000 0.560 0.440  0.07
Cu: 0.935 0.065 0.500  0.56
Cu: 0.065 0.500 0.935  0.56
Cu: 0.500 0.935 0.065  0.56
Cu: 0.500 0.500 0.500  0.49
O: 0.500 0.334 0.666  0.09
O: 0.898 0.500 0.102  0.11
O: 0.102 0.898 0.500  0.11
O: 0.500 0.102 0.898  0.11
O: 0.389 0.000 0.264  0.15
O: 0.264 0.389 0.000  0.15
O: 0.000 0.264 0.389  0.15
O: 0.611 0.736 0.000  0.15
O: 0.000 0.611 0.736  0.15
O: 0.736 0.000 0.611  0.15
O: 0.666 0.500 0.334  0.09
O: 0.334 0.666 0.500  0.09

* V: 16.836 Å³/atom
* DOS at the Fermi energy: 0.564 states/eV/atom
* SG: R32

Entry from Alexandria: a relaxed Rb2PaCuO4 crystal (PBE).

Cell lengths 5.986, 5.986, 5.986 Å; angles 95.90, 116.65, 116.65 degrees
Atoms (fractional coordinates):
Rb: 0.500 0.750 0.250
Rb: 0.000 0.000 0.000
Pa: 0.500 0.250 0.750
Cu: 0.000 0.500 0.500
O: 0.588 0.351 0.464
O: 0.112 0.236 0.649
O: 0.888 0.536 0.124
O: 0.412 0.876 0.764

* V: 19.803 Å³/atom
* SG: I-4

Entry from Alexandria: a relaxed RbPa2CuO8 crystal (PBE).

Cell lengths 5.139, 5.139, 8.200 Å; angles 90.00, 90.00, 120.00 degrees
Atoms (fractional coordinates):
Rb: 0.000 0.000 0.500
Pa: 0.667 0.333 0.129
Pa: 0.333 0.667 0.871
Cu: 0.000 0.000 0.000
O: 0.825 0.651 0.877
O: 0.349 0.175 0.877
O: 0.825 0.175 0.877
O: 0.175 0.349 0.123
O: 0.651 0.825 0.123
O: 0.175 0.825 0.123
O: 0.667 0.333 0.359
O: 0.333 0.667 0.641

* V: 15.630 Å³/atom
* SG: P-3m1

Entry from Alexandria: a relaxed Rb4Pa3CuO12 crystal (PBE).

Cell lengths 7.495, 7.495, 7.495 Å; angles 109.47, 109.47, 109.47 degrees
Atoms (fractional coordinates):
Rb: 0.500 0.500 0.500
Rb: 0.000 0.000 0.500
Rb: 0.500 0.000 0.000
Rb: 0.000 0.500 0.000
Pa: 0.500 0.000 0.500
Pa: 0.500 0.500 0.000
Pa: 0.000 0.500 0.500
Cu: 0.000 0.000 0.000
O: 0.250 0.500 0.750
O: 0.746 0.000 0.746
O: 0.254 0.000 0.254
O: 0.750 0.500 0.250
O: 0.746 0.746 0.000
O: 0.254 0.254 0.000
O: 0.750 0.250 0.500
O: 0.250 0.750 0.500
O: 0.500 0.250 0.750
O: 0.000 0.746 0.746
O: 0.500 0.750 0.250
O: 0.000 0.254 0.254

* V: 16.205 Å³/atom
* DOS at the Fermi energy: 0.953 states/eV/atom
* SG: Im-3m

Entry from Alexandria: a relaxed Rb2PaCuO6 crystal (PBE).

Cell lengths 6.613, 6.614, 6.613 Å; angles 51.05, 51.05, 75.10 degrees
Each line ends with the local moment (μB).
Atoms (fractional coordinates):
Rb: 0.250 0.750 0.500  0.00
Rb: 0.750 0.250 0.500  0.00
Pa: 0.000 0.000 0.000  0.09
Cu: 0.500 0.500 0.000  0.02
O: 0.273 0.727 0.000  0.13
O: 0.813 0.812 0.000  0.10
O: 0.273 0.273 0.454  0.13
O: 0.727 0.273 0.000  0.13
O: 0.187 0.188 0.000  0.10
O: 0.727 0.727 0.546  0.13

* V: 17.033 Å³/atom
* DOS at the Fermi energy: 0.695 states/eV/atom
* SG: I4/mmm

| no. | uncorrected formation energy (meV/atom) |
| --- | --- |
| 1 | -1640 |
| 2 | -1716 |
| 3 | -2467 |
| 4 | -2659 |
| 5 | -2235 |
| 6 | -2479 |
| 7 | -955 |
| 8 | -1476 |
| 9 | -1528 |
| 10 | -2363 |
| 11 | -2346 |
| 12 | -1891 |
| 13 | -1437 |
| 14 | -1695 |
| 15 | -2112 |
| 16 | -1957 |
| 17 | -2150 |
| 18 | -2361 |
| 19 | -1759 |